(1)
Computed, not measured: NaBeAgCl4 after structural relaxation at the GGA-PBE level of DFT.

Unit cell a=6.478 b=6.862 c=7.613 alpha=90.00 beta=97.51 gamma=90.00
Space group P2_1/m (No. 11)
Asymmetric unit:
Na: 0.227 0.250 0.045
Be: 0.270 0.750 0.803
Ag: 0.182 0.250 0.522
Cl: 0.069 0.515 0.749
Cl: 0.383 0.750 0.057
Cl: 0.487 0.750 0.636

Energy relative to the elements, uncorrected = -1.22 eV per atom
Crystal system = monoclinic
VASP energy = -3.405 eV per atom

---

(2)
Computed, not measured: NdBePt after structural relaxation at the GGA-PBE level of DFT.

Unit cell a=4.0847 b=4.0847 c=4.0844 alpha=90.00 beta=90.00 gamma=120.00
Space group P-6m2 (No. 187)
Asymmetric unit:
Nd: 0.0000 0.0000 0.0000
Be: 0.3333 0.6667 0.5000
Pt: 0.6667 0.3333 0.5000

DFT formation energy = -766 meV per atom
Crystal system = hexagonal
VASP energy = -5.611 eV per atom

---

(3)
Computed, not measured: NbCu2Pb after structural relaxation at the GGA-PBE level of DFT.

Unit cell a=7.229 b=7.229 c=5.697 alpha=90.00 beta=90.00 gamma=90.00
Space group I-42d (No. 122)
Asymmetric unit:
Nb: 0.000 0.000 0.000
Cu: 0.242 0.750 0.125
Pb: 0.000 0.000 0.500

DFT formation energy = 561 meV per atom
Crystal system = tetragonal
VASP energy = -4.932 eV per atom

---

(4)
Computed, not measured: TiSi2GeTe after structural relaxation at the GGA-PBE level of DFT.

Unit cell a=4.840 b=4.840 c=5.252 alpha=90.00 beta=90.00 gamma=90.00
Space group P4/mmm (No. 123)
Asymmetric unit:
Ti: 0.000 0.000 0.000
Si: 0.000 0.500 0.000
Ge: 0.500 0.500 0.500
Te: 0.000 0.000 0.500

Energy relative to the elements, uncorrected = 0.57 eV per atom
Crystal system = tetragonal
VASP energy = -4.725 eV per atom

---

(5)
Computed, not measured: AlCd2F after structural relaxation at the GGA-PBE level of DFT.

Unit cell a=7.348 b=7.348 c=5.840 alpha=90.00 beta=90.00 gamma=90.00
Space group I-42d (No. 122)
Asymmetric unit:
Al: 0.000 0.000 0.000
Cd: 0.211 0.250 0.625
F: 0.000 0.000 0.500

Energy relative to the elements, uncorrected = -0.52 eV per atom
Crystal system = tetragonal
VASP energy = -2.377 eV per atom

---

(6)
Computed, not measured: Cu2SBr after structural relaxation at the GGA-PBE level of DFT.

Unit cell a=6.865 b=6.584 c=7.593 alpha=90.00 beta=90.17 gamma=90.00
Space group P2_1/c (No. 14)
Asymmetric unit:
Cu: 0.130 0.113 0.254
Cu: 0.296 0.674 0.510
S: 0.151 0.724 0.767
Br: 0.342 0.233 0.991

Energy relative to the elements, uncorrected = -0.23 eV per atom
Crystal system = monoclinic
VASP energy = -3.725 eV per atom

---

(7)
Computed, not measured: Li2Sm2ScTl2 after structural relaxation at the GGA-PBE level of DFT.

Unit cell a=4.7643 b=4.7643 c=26.8792 alpha=90.00 beta=90.00 gamma=120.00
Space group R-3m (No. 166, hexagonal axes)
Asymmetric unit:
Li: 0.0000 0.0000 0.1174
Sm: 0.0000 0.0000 0.3756
Sc: 0.0000 0.0000 0.5000
Tl: 0.0000 0.0000 0.2315

DFT formation energy = -167 meV per atom
Crystal system = trigonal
VASP energy = -3.643 eV per atom

---

(8)
Computed, not measured: SmAl4Ga2 after structural relaxation at the GGA-PBE level of DFT.

Unit cell a=4.144 b=15.451 c=4.132 alpha=90.00 beta=90.00 gamma=90.00
Space group Cmmm (No. 65)
Asymmetric unit:
Sm: 0.000 0.000 0.000
Al: 0.000 0.184 0.500
Al: 0.000 0.312 0.000
Ga: 0.000 0.420 0.500

DFT formation energy = -249 meV per atom
Crystal system = orthorhombic
VASP energy = -3.926 eV per atom

---

(9)
Computed, not measured: Nd6P2CI3 after structural relaxation at the GGA-PBE level of DFT.

Unit cell a=7.150 b=12.380 c=8.080 alpha=90.00 beta=107.16 gamma=90.00
Space group C2/m (No. 12)
Asymmetric unit:
Nd: 0.216 0.155 0.181
Nd: 0.250 0.000 0.818
P: 0.000 0.334 0.000
C: 0.000 0.000 0.000
I: 0.000 0.170 0.500
I: 0.000 0.500 0.500

Energy relative to the elements, uncorrected = -1.15 eV per atom
Crystal system = monoclinic
VASP energy = -5.588 eV per atom

---

(10)
Computed, not measured: La4Ge2H after structural relaxation at the GGA-PBE level of DFT.

Unit cell a=6.688 b=6.716 c=8.993 alpha=90.00 beta=109.53 gamma=90.00
Space group P2_1/m (No. 11)
Asymmetric unit:
La: 0.011 0.012 0.262
La: 0.413 0.250 0.086
La: 0.427 0.250 0.623
Ge: 0.216 0.750 0.054
Ge: 0.262 0.750 0.567
H: 0.239 0.250 0.808

Crystal system = monoclinic
VASP energy = -5.237 eV per atom

---

(11)
Computed, not measured: Ca2AlAu after structural relaxation at the GGA-PBE level of DFT.

Unit cell a=3.8994 b=3.8994 c=26.1396 alpha=90.00 beta=90.00 gamma=120.00
Space group R-3m (No. 166, hexagonal axes)
Asymmetric unit:
Ca: 0.0000 0.0000 0.2427
Al: 0.0000 0.0000 0.0000
Au: 0.0000 0.0000 0.5000

DFT formation energy = -280 meV per atom
Crystal system = trigonal
VASP energy = -3.036 eV per atom

---

(12)
Computed, not measured: GaBiO2 after structural relaxation at the GGA-PBE level of DFT.

Unit cell a=3.1607 b=3.1607 c=20.2788 alpha=90.00 beta=90.00 gamma=120.00
Space group R-3m (No. 166, hexagonal axes)
Asymmetric unit:
Ga: 0.0000 0.0000 0.0000
Bi: 0.0000 0.0000 0.5000
O: 0.0000 0.0000 0.3819

Energy relative to the elements, uncorrected = -1.26 eV per atom
Crystal system = trigonal
VASP energy = -5.469 eV per atom

---

(13)
Computed, not measured: SiNiCl2 after structural relaxation at the GGA-PBE level of DFT.

Unit cell a=5.947 b=6.975 c=3.551 alpha=90.00 beta=90.00 gamma=90.00
Space group Cmmm (No. 65)
Asymmetric unit:
Si: 0.000 0.000 0.000
Ni: 0.000 0.500 0.000
Cl: 0.000 0.279 0.500

Energy relative to the elements, uncorrected = 0.18 eV per atom
Crystal system = orthorhombic
VASP energy = -3.540 eV per atom

---

(14)
Computed, not measured: KFe3Se after structural relaxation at the GGA-PBE level of DFT.

Unit cell a=4.612 b=4.612 c=4.612 alpha=90.00 beta=90.00 gamma=90.00
Space group Pm-3m (No. 221)
Asymmetric unit:
K: 0.000 0.000 0.000
Fe: 0.000 0.500 0.500
Se: 0.500 0.500 0.500

Energy relative to the elements, uncorrected = 0.77 eV per atom
Crystal system = cubic
VASP energy = -5.227 eV per atom

---

(15)
Computed, not measured: Y2Re3Ru after structural relaxation at the GGA-PBE level of DFT.

Unit cell a=9.136 b=5.284 c=5.549 alpha=90.00 beta=123.39 gamma=90.00
Space group C2/m (No. 12)
Asymmetric unit:
Y: 0.126 0.000 0.377
Re: 0.000 0.500 0.000
Re: 0.250 0.250 0.000
Ru: 0.000 0.500 0.500

DFT formation energy = -213 meV per atom
Crystal system = monoclinic
VASP energy = -10.138 eV per atom

---

(16)
Computed, not measured: Ce5ZnIn2 after structural relaxation at the GGA-PBE level of DFT.

Unit cell a=4.622 b=4.622 c=19.395 alpha=90.00 beta=90.00 gamma=90.00
Space group I4/mmm (No. 139)
Asymmetric unit:
Ce: 0.000 0.000 0.000
Ce: 0.000 0.500 0.123
Zn: 0.000 0.000 0.500
In: 0.000 0.000 0.250

DFT formation energy = -151 meV per atom
Crystal system = tetragonal
VASP energy = -4.703 eV per atom

---

(17)
Computed, not measured: Mg3ScPt4 after structural relaxation at the GGA-PBE level of DFT.

Unit cell a=9.374 b=5.920 c=4.743 alpha=90.00 beta=90.00 gamma=90.00
Space group Pmma (No. 51)
Asymmetric unit:
Mg: 0.000 0.000 0.000
Mg: 0.250 0.000 0.435
Mg: 0.250 0.500 0.444
Sc: 0.000 0.500 0.000
Pt: 0.000 0.247 0.500
Pt: 0.250 0.246 0.932

DFT formation energy = -980 meV per atom
Crystal system = orthorhombic
VASP energy = -5.390 eV per atom

---

(18)
Computed, not measured: HfGeRh after structural relaxation at the GGA-PBE level of DFT.

Unit cell a=7.460 b=11.716 c=6.835 alpha=90.00 beta=90.00 gamma=90.00
Space group Ima2 (No. 46)
Asymmetric unit:
Hf: 0.250 0.001 0.000
Hf: 0.250 0.223 0.353
Hf: 0.250 0.696 0.882
Ge: 0.005 0.668 0.581
Ge: 0.250 0.030 0.583
Rh: 0.000 0.000 0.325
Rh: 0.037 0.624 0.210

DFT formation energy = -879 meV per atom
Crystal system = orthorhombic
VASP energy = -8.186 eV per atom

---

(19)
Computed, not measured: Rb12AgAu5 after structural relaxation at the GGA-PBE level of DFT.

Unit cell a=11.322 b=12.228 c=12.718 alpha=90.00 beta=90.00 gamma=90.00
Space group Immm (No. 71)
Asymmetric unit:
Rb: 0.000 0.186 0.241
Rb: 0.181 0.500 0.160
Rb: 0.222 0.331 0.500
Ag: 0.000 0.000 0.500
Au: 0.000 0.000 0.000
Au: 0.000 0.328 0.000
Au: 0.000 0.500 0.386

DFT formation energy = -151 meV per atom
Crystal system = orthorhombic
VASP energy = -1.865 eV per atom

---

(20)
Computed, not measured: Tb2Sc6Ga after structural relaxation at the GGA-PBE level of DFT.

Unit cell a=16.119 b=8.880 c=3.243 alpha=90.00 beta=96.41 gamma=90.00
Space group C2/m (No. 12)
Asymmetric unit:
Tb: 0.168 0.000 0.424
Sc: 0.000 0.223 0.500
Sc: 0.164 0.333 0.992
Ga: 0.000 0.500 0.000

DFT formation energy = 27 meV per atom
Crystal system = monoclinic
VASP energy = -5.559 eV per atom

---

(21)
Computed, not measured: SrReN3 after structural relaxation at the GGA-PBE level of DFT.

Unit cell a=7.096 b=5.775 c=7.789 alpha=90.00 beta=111.82 gamma=90.00
Space group P2_1/c (No. 14)
Asymmetric unit:
Sr: 0.215 0.247 0.072
Re: 0.191 0.718 0.311
N: 0.021 0.000 0.239
N: 0.218 0.721 0.070
N: 0.436 0.531 0.422

Energy relative to the elements, uncorrected = -0.35 eV per atom
Crystal system = monoclinic
VASP energy = -8.174 eV per atom

---

(22)
Computed, not measured: CoCuRe2 after structural relaxation at the GGA-PBE level of DFT.

Unit cell a=4.474 b=4.474 c=2.623 alpha=90.00 beta=90.00 gamma=90.00
Space group P4/mmm (No. 123)
Asymmetric unit:
Co: 0.000 0.000 0.000
Cu: 0.500 0.500 0.000
Re: 0.000 0.500 0.500

DFT formation energy = 402 meV per atom
Crystal system = tetragonal
VASP energy = -8.623 eV per atom

---

(23)
Computed, not measured: KBaAg2S after structural relaxation at the GGA-PBE level of DFT.

Unit cell a=5.247 b=5.247 c=8.894 alpha=90.00 beta=90.00 gamma=90.00
Space group P4/mmm (No. 123)
Asymmetric unit:
K: 0.000 0.000 0.000
Ba: 0.000 0.000 0.500
Ag: 0.000 0.500 0.000
S: 0.500 0.500 0.500

Energy relative to the elements, uncorrected = 0.51 eV per atom
Crystal system = tetragonal
VASP energy = -2.060 eV per atom